! Ba2MgGe3Pd4 | Alexandria | PBE-GGA | relaxed; values from VASP
&SYSTEM
  ibrav = 0, nat = 10, ntyp = 4
/
ATOMIC_SPECIES
Ba 137.33 Ba.upf
Mg 24.30 Mg.upf
Ge 72.64 Ge.upf
Pd 106.42 Pd.upf
CELL_PARAMETERS angstrom
4.500 0.000 0.000
0.000 4.500 0.000
0.000 0.000 10.838
ATOMIC_POSITIONS angstrom
Ba 0.000 2.250 2.661
Ba 2.250 0.000 8.177
Mg 0.000 0.000 5.419
Ge 0.000 2.250 9.591
Ge 2.250 0.000 1.247
Ge 2.250 2.250 5.419
Pd 0.000 0.000 0.000
Pd 0.000 2.250 6.867
Pd 2.250 0.000 3.971
Pd 2.250 2.250 0.000
! - DFT formation energy (eV/atom) = -0.65
! - V (Å³/atom) = 22.0
! - total energy (eV per atom) = -4.661